(1)
The following is a PBE calculation of a relaxed structure of Cs2GeCl2F4, from the Alexandria database.

Lattice parameters (Å, degrees): 6.2359 6.5116 6.5116 64.64 86.07 86.07
Atoms (fractional coordinates):
1 F 0.6401 0.8906 0.2684
2 F 0.3599 0.7316 0.1094
3 F 0.6401 0.2684 0.8906
4 F 0.3599 0.1094 0.7316
5 Ge 0.5000 0.0000 0.0000
6 Cl 0.7717 0.8423 0.8423
7 Cl 0.2283 0.1577 0.1577
8 Cs 0.2827 0.6686 0.6686
9 Cs 0.7173 0.3314 0.3314

Values from the calculation:
Mass density = 3384 kg/m³
DFT total energy = -38.11 eV per cell
Formation energy from raw total energies = -20.60 eV per formula unit
Calculated volume = 26.5 A^3/atom

(2)
The following is a PBE calculation of a relaxed structure of CsGeCl2F, from the Alexandria database.

Lattice parameters (Å, degrees): 5.4897 5.4897 4.4154 90.00 90.00 90.00
Atoms (fractional coordinates):
1 F 0.0000 0.0000 0.5000
2 Cl 0.5000 0.0000 0.0000
3 Cl 0.0000 0.5000 0.0000
4 Cs 0.5000 0.5000 0.5000
5 Ge 0.0000 0.0000 0.0000

Values from the calculation:
Mass density = 3687 kg/m³
DFT total energy = -19.30 eV per cell
Formation energy from raw total energies = -8.26 eV per formula unit
Calculated volume = 26.6 A^3/atom

(3)
The following is a PBE calculation of a relaxed structure of Cs2GeCl6F, from the Alexandria database.

Lattice parameters (Å, degrees): 7.3153 7.3153 7.5447 61.00 61.00 90.00
Site moments in Bohr magnetons follow the coordinates.
Atoms (fractional coordinates):
1 Cs 0.7500 0.2500 0.5000  0.00
2 Cs 0.2500 0.7500 0.5000  0.00
3 Cl 0.2261 0.2261 0.0000  0.08
4 Cl 0.2261 0.7739 0.0000  0.08
5 Cl 0.7739 0.2261 0.0000  0.08
6 Cl 0.2127 0.2127 0.5745  0.02
7 Cl 0.7873 0.7873 0.4255  0.02
8 Cl 0.7739 0.7739 0.0000  0.08
9 Ge 0.0000 0.0000 0.0000  0.00
10 F 0.5000 0.5000 0.0000  0.50

Values from the calculation:
Mass density = 3221 kg/m³
DFT total energy = -31.44 eV per cell
Formation energy from raw total energies = -12.16 eV per formula unit
Calculated volume = 29.4 A^3/atom

(4)
The following is a PBE calculation of a relaxed structure of Cs2GeCl4F2, from the Alexandria database.

Lattice parameters (Å, degrees): 6.0804 6.9815 6.9815 62.40 79.07 79.07
Atoms (fractional coordinates):
1 F 0.7346 0.8726 0.8726
2 F 0.2654 0.1274 0.1274
3 Cl 0.6795 0.8550 0.3136
4 Cl 0.3205 0.6864 0.1450
5 Cl 0.3205 0.1450 0.6864
6 Cl 0.6795 0.3136 0.8550
7 Ge 0.5000 0.0000 0.0000
8 Cs 0.8208 0.3250 0.3250
9 Cs 0.1792 0.6750 0.6750

Values from the calculation:
Mass density = 3360 kg/m³
DFT total energy = -33.86 eV per cell
Formation energy from raw total energies = -16.40 eV per formula unit
Calculated volume = 28.5 A^3/atom

(5)
The following is a PBE calculation of a relaxed structure of Cs8H3Cl4F, from the Alexandria database.

Lattice parameters (Å, degrees): 9.4845 9.5395 9.4865 119.82 119.99 90.00
Atoms (fractional coordinates):
1 Cs 0.7620 0.2764 0.0143
2 Cs 0.2577 0.2731 0.5155
3 Cs 0.7477 0.7236 0.9857
4 Cs 0.2380 0.7236 0.9857
5 Cs 0.2523 0.2764 0.0143
6 Cs 0.7423 0.7269 0.4845
7 Cs 0.2385 0.7239 0.4770
8 Cs 0.7615 0.2761 0.5230
9 Cl 0.0000 0.0000 0.5000
10 Cl 0.5000 0.0000 0.0000
11 Cl 0.0000 0.0000 0.0000
12 Cl 0.5000 0.0000 0.5000
13 F 0.0000 0.5000 0.0000
14 H 0.5000 0.5000 0.0000
15 H 0.0000 0.5000 0.5000
16 H 0.5000 0.5000 0.5000

Values from the calculation:
Mass density = 3348 kg/m³
DFT total energy = -47.99 eV per cell
Calculated volume = 38.0 A^3/atom

(6)
The following is a PBE calculation of a relaxed structure of Cs6H2ClF3, from the Alexandria database.

Lattice parameters (Å, degrees): 4.4985 9.0937 10.1290 103.51 102.83 90.00
Atoms (fractional coordinates):
1 Cs 0.6653 0.5885 0.3305
2 Cs 0.0043 0.7247 0.0086
3 Cs 0.6760 0.0820 0.3520
4 Cs 0.3240 0.9180 0.6480
5 Cs 0.9957 0.2753 0.9914
6 Cs 0.3347 0.4115 0.6695
7 H 0.1688 0.3361 0.3376
8 H 0.8312 0.6639 0.6624
9 Cl 0.5000 0.0000 0.0000
10 F 0.8328 0.1721 0.6656
11 F 0.5000 0.5000 0.0000
12 F 0.1672 0.8279 0.3344

Values from the calculation:
Mass density = 3776 kg/m³
DFT total energy = -39.61 eV per cell
Calculated volume = 32.7 A^3/atom

(7)
The following is a PBE calculation of a relaxed structure of Cs6H3ClF2, from the Alexandria database.

Lattice parameters (Å, degrees): 4.5363 9.1868 10.2159 102.95 102.83 90.00
Atoms (fractional coordinates):
1 F 0.1719 0.3416 0.3439
2 F 0.8281 0.6584 0.6561
3 Cs 0.6703 0.5732 0.3406
4 Cs 0.9969 0.7252 0.9937
5 Cs 0.3260 0.8991 0.6520
6 Cs 0.0031 0.2748 0.0063
7 Cs 0.6740 0.1009 0.3480
8 Cs 0.3297 0.4268 0.6594
9 H 0.5000 0.5000 0.0000
10 H 0.1662 0.8279 0.3323
11 H 0.8338 0.1721 0.6677
12 Cl 0.5000 0.0000 0.0000

Values from the calculation:
Mass density = 3592 kg/m³
DFT total energy = -36.11 eV per cell
Calculated volume = 33.7 A^3/atom

(8)
The following is a PBE calculation of a relaxed structure of CsH2ClF8, from the Alexandria database.

Lattice parameters (Å, degrees): 5.1176 4.8981 8.2468 85.38 68.68 97.58
Atoms (fractional coordinates):
1 F 0.9170 0.2305 0.8536
2 F 0.6890 0.7365 0.0207
3 F 0.7785 0.1428 0.1870
4 F 0.6110 0.4379 0.6546
5 F 0.3110 0.2635 0.9793
6 F 0.0830 0.7695 0.1464
7 F 0.2215 0.8572 0.8130
8 F 0.3890 0.5621 0.3454
9 H 0.5003 0.6177 0.2212
10 H 0.4997 0.3823 0.7788
11 Cs 0.0000 0.0000 0.5000
12 Cl 0.0000 0.0000 0.0000

Values from the calculation:
Mass density = 2832 kg/m³
DFT total energy = -40.37 eV per cell
Calculated volume = 15.8 A^3/atom

(9)
The following is a PBE calculation of a relaxed structure of Cs4HClF2, from the Alexandria database.

Lattice parameters (Å, degrees): 4.5357 7.8789 7.9664 109.22 90.00 90.00
Atoms (fractional coordinates):
1 Cs 0.5000 0.7523 0.7288
2 Cs 0.0000 0.2302 0.7201
3 Cs 0.0000 0.7698 0.2799
4 Cs 0.5000 0.2477 0.2712
5 Cl 0.5000 0.5000 0.0000
6 H 0.0000 0.0000 0.0000
7 F 0.5000 0.0000 0.5000
8 F 0.0000 0.5000 0.5000

Values from the calculation:
Mass density = 3744 kg/m³
DFT total energy = -27.06 eV per cell
Calculated volume = 33.6 A^3/atom

(10)
The following is a PBE calculation of a relaxed structure of Cs4H2ClF, from the Alexandria database.

Lattice parameters (Å, degrees): 9.2604 9.2604 9.2439 119.92 119.92 90.09
Atoms (fractional coordinates):
1 Cl 0.0000 0.5000 0.5000
2 Cl 0.0000 0.5000 0.0000
3 Cs 0.7426 0.7594 0.9922
4 Cs 0.7406 0.7574 0.5078
5 Cs 0.2770 0.7597 0.5181
6 Cs 0.2574 0.2406 0.0078
7 Cs 0.2594 0.2426 0.4922
8 Cs 0.2597 0.7770 0.0181
9 Cs 0.7403 0.2230 0.9819
10 Cs 0.7230 0.2403 0.4819
11 F 0.5000 0.5000 0.5000
12 F 0.0000 0.0000 0.0000
13 H 0.5000 0.0000 0.5000
14 H 0.0000 0.0000 0.5000
15 H 0.5000 0.0000 0.0000
16 H 0.5000 0.5000 0.0000

Values from the calculation:
Mass density = 3479 kg/m³
DFT total energy = -47.14 eV per cell
Calculated volume = 35.1 A^3/atom

(11)
The following is a PBE calculation of a relaxed structure of Cs6HCl3F2, from the Alexandria database.

Lattice parameters (Å, degrees): 8.0878 8.0878 8.2022 99.46 99.46 120.01
Atoms (fractional coordinates):
1 Cl 0.1645 0.8355 0.5000
2 Cl 0.5000 0.5000 0.5000
3 Cl 0.8355 0.1645 0.5000
4 F 0.6673 0.3327 0.0000
5 F 0.3327 0.6673 0.0000
6 Cs 0.4140 0.0729 0.2186
7 Cs 0.2681 0.2681 0.7819
8 Cs 0.9271 0.5860 0.7814
9 Cs 0.0729 0.4140 0.2186
10 Cs 0.7319 0.7319 0.2181
11 Cs 0.5860 0.9271 0.7814
12 H 0.0000 0.0000 0.0000

Values from the calculation:
Mass density = 3568 kg/m³
DFT total energy = -40.26 eV per cell
Calculated volume = 36.6 A^3/atom

(12)
The following is a PBE calculation of a relaxed structure of Cs2HfCl5F, from the Alexandria database.

Lattice parameters (Å, degrees): 7.5041 7.5041 7.5041 89.78 120.13 120.13
Atoms (fractional coordinates):
1 Cs 0.5000 0.7455 0.2455
2 Cs 0.5000 0.2455 0.7455
3 Cl 0.4672 0.2280 0.2280
4 Cl 0.0000 0.2280 0.7608
5 Cl 0.5328 0.7608 0.7608
6 Cl 0.0000 0.2280 0.2280
7 Cl 0.0000 0.7608 0.2280
8 Hf 0.0000 0.9936 0.9936
9 F 0.0000 0.8097 0.8097

Values from the calculation:
Mass density = 3567 kg/m³
DFT total energy = -43.25 eV per cell
Formation energy from raw total energies = -20.48 eV per formula unit
Calculated volume = 33.1 A^3/atom

(13)
The following is a PBE calculation of a relaxed structure of Cs3Hg2Cl2F5, from the Alexandria database.

Lattice parameters (Å, degrees): 4.8705 4.8705 13.1425 100.68 100.68 90.00
Atoms (fractional coordinates):
1 Cs 0.1658 0.1658 0.3316
2 Cs 0.0000 0.0000 0.0000
3 Cs 0.8342 0.8342 0.6684
4 F 0.4137 0.9137 0.8275
5 F 0.0863 0.5863 0.1725
6 F 0.9137 0.4137 0.8275
7 F 0.5863 0.0863 0.1725
8 F 0.5000 0.5000 0.0000
9 Cl 0.6902 0.6902 0.3803
10 Cl 0.3098 0.3098 0.6197
11 Hg 0.4102 0.4102 0.8204
12 Hg 0.5898 0.5898 0.1796

Values from the calculation:
Mass density = 5330 kg/m³
DFT total energy = -39.07 eV per cell
Formation energy from raw total energies = -22.85 eV per formula unit
Calculated volume = 25.1 A^3/atom

(14)
The following is a PBE calculation of a relaxed structure of Cs2HgClF6, from the Alexandria database.

Lattice parameters (Å, degrees): 6.3912 6.3912 6.8787 62.32 62.32 90.00
Site moments in Bohr magnetons follow the coordinates.
Atoms (fractional coordinates):
1 F 0.7351 0.2649 0.0000  0.09
2 F 0.2649 0.2649 0.0000  0.06
3 F 0.7351 0.7351 0.0000  0.06
4 F 0.2031 0.2031 0.5938  0.03
5 F 0.7969 0.7969 0.4062  0.03
6 F 0.2649 0.7351 0.0000  0.09
7 Cl 0.5000 0.5000 0.0000  0.50
8 Cs 0.7500 0.2500 0.5000  0.00
9 Cs 0.2500 0.7500 0.5000  0.00
10 Hg 0.0000 0.0000 0.0000  0.03

Values from the calculation:
Mass density = 4828 kg/m³
DFT total energy = -31.45 eV per cell
Formation energy from raw total energies = -16.37 eV per formula unit
Calculated volume = 21.2 A^3/atom

(15)
The following is a PBE calculation of a relaxed structure of CsHgCl2F, from the Alexandria database.

Lattice parameters (Å, degrees): 4.6307 7.7250 8.8901 105.58 90.00 90.00
Atoms (fractional coordinates):
1 Cl 0.7500 0.8877 0.6204
2 Cl 0.2500 0.1123 0.3796
3 Cl 0.7500 0.8049 0.0457
4 Cl 0.2500 0.1951 0.9543
5 F 0.7500 0.3970 0.2990
6 F 0.2500 0.6030 0.7010
7 Hg 0.2500 0.8894 0.7928
8 Hg 0.7500 0.1106 0.2072
9 Cs 0.7500 0.3690 0.6785
10 Cs 0.2500 0.6310 0.3215

Values from the calculation:
Mass density = 4590 kg/m³
DFT total energy = -28.08 eV per cell
Excess energy over the best structure of this formula in the dataset = 0.000 eV/f.u.
Formation energy from raw total energies = -7.32 eV per formula unit
Calculated volume = 30.6 A^3/atom

(16)
The following is a PBE calculation of a relaxed structure of CsHgCl2F, from the Alexandria database.

Lattice parameters (Å, degrees): 5.4264 5.4264 4.6856 90.00 90.00 90.00
Atoms (fractional coordinates):
1 Cs 0.5000 0.5000 0.5000
2 Cl 0.5000 0.0000 0.0000
3 Cl 0.0000 0.5000 0.0000
4 F 0.0000 0.0000 0.5000
5 Hg 0.0000 0.0000 0.0000

Values from the calculation:
Mass density = 5096 kg/m³
DFT total energy = -13.84 eV per cell
Excess energy over the best structure of this formula in the dataset = 0.201 eV/f.u.
Formation energy from raw total energies = -7.12 eV per formula unit
Calculated volume = 27.6 A^3/atom

(17)
The following is a PBE calculation of a relaxed structure of Cs3Hg2Cl4F3, from the Alexandria database.

Lattice parameters (Å, degrees): 5.3805 4.8777 13.8231 100.16 101.22 90.00
Atoms (fractional coordinates):
1 Cl 0.4046 0.9128 0.8257
2 Cl 0.5789 0.0872 0.1743
3 Cl 0.1873 0.1880 0.3760
4 Cl 0.8113 0.8120 0.6240
5 Cs 0.6839 0.6774 0.3548
6 Cs 0.6155 0.5000 0.0000
7 Cs 0.3292 0.3226 0.6452
8 Hg 0.0902 0.0889 0.1778
9 Hg 0.9124 0.9111 0.8222
10 F 0.8812 0.4097 0.8194
11 F 0.9716 0.0000 0.0000
12 F 0.0618 0.5903 0.1806

Values from the calculation:
Mass density = 4738 kg/m³
DFT total energy = -35.86 eV per cell
Formation energy from raw total energies = -19.69 eV per formula unit
Calculated volume = 29.2 A^3/atom

(18)
The following is a PBE calculation of a relaxed structure of Cs3Hg2Cl3F4, from the Alexandria database.

Lattice parameters (Å, degrees): 4.7779 5.2830 13.4553 101.32 100.23 90.00
Atoms (fractional coordinates):
1 Cs 0.6943 0.6927 0.3853
2 Cs 0.3090 0.3073 0.6147
3 Cs 0.5019 0.5000 0.0000
4 Cl 0.1006 0.5989 0.1978
5 Cl 0.9028 0.4011 0.8022
6 Cl 0.0020 0.0000 0.0000
7 F 0.8077 0.8040 0.6080
8 F 0.3895 0.8871 0.7742
9 F 0.1998 0.1960 0.3920
10 F 0.6153 0.1129 0.2258
11 Hg 0.1098 0.1074 0.2148
12 Hg 0.8951 0.8926 0.7852

Values from the calculation:
Mass density = 4980 kg/m³
DFT total energy = -37.06 eV per cell
Formation energy from raw total energies = -20.87 eV per formula unit
Calculated volume = 27.3 A^3/atom

(19)
The following is a PBE calculation of a relaxed structure of CsHgClF2, from the Alexandria database.

Lattice parameters (Å, degrees): 4.7996 4.7996 5.2137 90.00 90.00 90.00
Atoms (fractional coordinates):
1 Cs 0.5000 0.5000 0.5000
2 F 0.5000 0.0000 0.0000
3 F 0.0000 0.5000 0.0000
4 Cl 0.0000 0.0000 0.5000
5 Hg 0.0000 0.0000 0.0000

Values from the calculation:
Mass density = 5626 kg/m³
DFT total energy = -15.15 eV per cell
Formation energy from raw total energies = -8.40 eV per formula unit
Calculated volume = 24.0 A^3/atom

(20)
The following is a PBE calculation of a relaxed structure of Cs2HgCl2F4, from the Alexandria database.

Lattice parameters (Å, degrees): 6.6237 6.6237 6.6237 104.64 111.94 111.94
Atoms (fractional coordinates):
1 F 0.0000 0.2111 0.7889
2 F 0.0000 0.7889 0.2111
3 F 0.4222 0.2111 0.2111
4 F 0.5778 0.7889 0.7889
5 Cl 0.0000 0.6238 0.6238
6 Cl 0.0000 0.3762 0.3762
7 Cs 0.5000 0.2500 0.7500
8 Cs 0.5000 0.7500 0.2500
9 Hg 0.0000 0.0000 0.0000

Values from the calculation:
Mass density = 4577 kg/m³
DFT total energy = -27.73 eV per cell
Formation energy from raw total energies = -14.54 eV per formula unit
Calculated volume = 24.7 A^3/atom

(21)
The following is a PBE calculation of a relaxed structure of CsHoClF3, from the Alexandria database.

Lattice parameters (Å, degrees): 7.0587 5.4006 8.3562 71.15 89.58 88.69
Atoms (fractional coordinates):
1 Cs 0.7500 0.7651 0.4698
2 Cs 0.2500 0.2349 0.5302
3 F 0.4398 0.0961 0.8540
4 F 0.7500 0.1792 0.6416
5 F 0.0602 0.0499 0.8540
6 F 0.9398 0.9501 0.1460
7 F 0.2500 0.8208 0.3584
8 F 0.5602 0.9039 0.1460
9 Ho 0.2500 0.9583 0.0834
10 Ho 0.7500 0.0417 0.9166
11 Cl 0.7500 0.5447 0.9106
12 Cl 0.2500 0.4553 0.0894

Values from the calculation:
Mass density = 4301 kg/m³
DFT total energy = -65.59 eV per cell
Formation energy from raw total energies = -19.90 eV per formula unit
Calculated volume = 25.1 A^3/atom

(22)
The following is a PBE calculation of a relaxed structure of Cs2ICl2F4, from the Alexandria database.

Lattice parameters (Å, degrees): 6.9436 6.9436 6.9436 94.77 117.28 117.28
Atoms (fractional coordinates):
1 F 0.0000 0.8009 0.1991
2 F 0.6019 0.8009 0.8009
3 F 0.0000 0.1991 0.8009
4 F 0.3981 0.1991 0.1991
5 I 0.0000 0.0000 0.0000
6 Cl 0.0000 0.3203 0.3203
7 Cl 0.0000 0.6797 0.6797
8 Cs 0.5000 0.2500 0.7500
9 Cs 0.5000 0.7500 0.2500

Values from the calculation:
Mass density = 3650 kg/m³
DFT total energy = -29.63 eV per cell
Formation energy from raw total energies = -15.19 eV per formula unit
Calculated volume = 27.3 A^3/atom